Computed, not measured: Mn2CuMo at its PBEsol-relaxed geometry at the meta-GGA SCAN level of DFT.

Geometry as POSCAR:
```
Mn2CuMo
1.0
4.200 -1.268 0.000
4.200 1.268 0.000
-0.553 0.000 4.538
Mn Cu Mo
2 1 1
Direct
0.243 0.243 0.233
0.757 0.757 0.767
0.500 0.500 0.000
0.000 0.000 0.500
```

Calculated values
- total magnetic moment (μB/f.u.) = 4.727
- ΔE to the lowest computed polymorph (eV per atom) = 0.126
- formation energy from the elements (meV/atom) = 219
- SG = C2/m, No. 12

***

Computed, not measured: Mn3CuN at its PBEsol-relaxed geometry at the meta-GGA SCAN level of DFT.

Geometry as POSCAR:
```
Mn3CuN
1.0
3.719 0.000 0.000
0.000 3.719 0.000
0.000 0.000 3.719
Mn Cu N
3 1 1
Direct
0.000 0.000 0.500
0.000 0.500 0.000
0.500 0.000 0.000
0.500 0.500 0.500
0.000 0.000 0.000
```

Calculated values
- total magnetic moment (μB/f.u.) = 9.633
- formation energy (no corrections) (eV per atom) = -0.29
- SG = Pm-3m, No. 221